Entry 1:
First-principles (PBE) data for a relaxed La5Dy4Ho4 crystal, as listed in the Alexandria database.

Unit cell a=5.1023 b=9.5905 c=9.5905 alpha=85.94 beta=74.57 gamma=74.57
Closest atoms and distances in Å follow each position.
Atoms (fractional coordinates):
La 0.6944 0.8447 0.7666  5 Ho 3.55-3.65, 3 Dy 3.61, 4 La 3.64-3.67
La 0.3056 0.1553 0.2334  5 Ho 3.55-3.65, 3 Dy 3.61, 4 La 3.64-3.67
La 0.0000 0.0000 0.0000  8 La 3.64, 4 Ho 3.68
La 0.5390 0.7666 0.1553  5 Ho 3.55-3.65, 3 Dy 3.61, 4 La 3.64-3.67
La 0.4610 0.2334 0.8447  5 Ho 3.55-3.65, 3 Dy 3.61, 4 La 3.64-3.67
Dy 0.9246 0.4621 0.6886  5 Dy 3.56-3.58, 4 Ho 3.60-3.67, 3 La 3.61
Dy 0.6133 0.3114 0.4621  5 Dy 3.56-3.58, 4 Ho 3.60-3.67, 3 La 3.61
Dy 0.0754 0.5379 0.3114  5 Dy 3.56-3.58, 4 Ho 3.60-3.67, 3 La 3.61
Dy 0.3867 0.6886 0.5379  5 Dy 3.56-3.58, 4 Ho 3.60-3.67, 3 La 3.61
Ho 0.7655 0.3899 0.0792  6 La 3.55-3.68, 2 Ho 3.58, 4 Dy 3.60-3.67
Ho 0.2345 0.6101 0.9208  6 La 3.55-3.68, 2 Ho 3.58, 4 Dy 3.60-3.67
Ho 0.8446 0.9208 0.3899  6 La 3.55-3.68, 2 Ho 3.58, 4 Dy 3.60-3.67
Ho 0.1554 0.0792 0.6101  6 La 3.55-3.68, 2 Ho 3.58, 4 Dy 3.60-3.67

Calculated values
For the magnetization, the calculation gives 0.0 μB per formula unit. As for the space group: I4/m (87).

***

Entry 2:
First-principles (PBE) data for a relaxed La2DyHo4 crystal, as listed in the Alexandria database.

Unit cell a=5.5341 b=5.5341 c=9.5322 alpha=106.88 beta=106.88 gamma=90.00
Closest atoms and distances in Å follow each position.
Atoms (fractional coordinates):
La 0.6262 0.6262 0.2524  5 Ho 3.47-3.53
La 0.3738 0.3738 0.7476  5 Ho 3.47-3.53
Dy 0.0000 0.0000 0.0000  6 Ho 2.77-3.03
Ho 0.8256 0.8256 0.6513  1 Dy 3.03
Ho 0.1744 0.1744 0.3487  1 Dy 3.03
Ho 0.0000 0.5000 0.0000  2 Dy 2.77
Ho 0.5000 0.0000 0.0000  2 Dy 2.77

Calculated values
For the magnetization, the calculation gives 0.0 μB per formula unit. As for the space group: I4/mmm (139).

***

Entry 3:
First-principles (PBE) data for a relaxed La3Dy2Ho4 crystal, as listed in the Alexandria database.

Unit cell a=3.6077 b=6.2491 c=15.2634 alpha=65.77 beta=90.00 gamma=106.78
Closest atoms and distances in Å follow each position.
Atoms (fractional coordinates):
La 0.3333 0.6666 0.5570  5 Ho 3.60-3.67, 5 La 3.60-3.64, 2 Dy 3.61
La 0.0000 0.0000 0.0000  4 Dy 3.57, 6 Ho 3.60-3.61, 2 La 3.61
La 0.6667 0.3334 0.4430  5 Ho 3.60-3.67, 5 La 3.60-3.64, 2 Dy 3.61
Dy 0.3328 0.6657 0.2198  4 La 3.57-3.61, 6 Ho 3.57-3.61, 2 Dy 3.61
Dy 0.6672 0.3343 0.7802  4 La 3.57-3.61, 6 Ho 3.57-3.61, 2 Dy 3.61
Ho 0.6671 0.3343 0.1109  6 Ho 3.55-3.61, 3 Dy 3.57-3.61, 3 La 3.60-3.61
Ho 0.0002 0.0004 0.6719  4 Ho 3.55-3.61, 3 Dy 3.58-3.60, 5 La 3.60-3.67
Ho 0.9998 0.9996 0.3281  4 Ho 3.55-3.61, 3 Dy 3.58-3.60, 5 La 3.60-3.67
Ho 0.3329 0.6657 0.8891  6 Ho 3.55-3.61, 3 Dy 3.57-3.61, 3 La 3.60-3.61

Calculated values
For the magnetization, the calculation gives 0.0 μB per formula unit. As for the space group: C2/m (12).

***

Entry 4:
First-principles (PBE) data for a relaxed LaDy2Ho2 crystal, as listed in the Alexandria database.

Unit cell a=9.4648 b=9.4648 c=3.7183 alpha=90.00 beta=90.00 gamma=90.00
Closest atoms and distances in Å follow each position.
Atoms (fractional coordinates):
La 0.0000 0.0000 0.0000  2 La 3.72, 4 Dy 3.75, 8 Ho 3.97
La 0.5000 0.5000 0.0000  2 La 3.72, 4 Dy 3.75, 8 Ho 3.97
Dy 0.1241 0.6241 0.0000  6 Ho 3.31-3.39, 1 Dy 3.32
Dy 0.6241 0.8759 0.0000  6 Ho 3.31-3.39, 1 Dy 3.32
Dy 0.8759 0.3759 0.0000  6 Ho 3.31-3.39, 1 Dy 3.32
Dy 0.3759 0.1241 0.0000  6 Ho 3.31-3.39, 1 Dy 3.32
Ho 0.3284 0.8284 0.5000  6 Dy 3.31-3.39
Ho 0.8284 0.6716 0.5000  6 Dy 3.31-3.39
Ho 0.6716 0.1716 0.5000  6 Dy 3.31-3.39
Ho 0.1716 0.3284 0.5000  6 Dy 3.31-3.39

Calculated values
For the magnetization, the calculation gives 0.0 μB per formula unit. As for the space group: P4/mbm (127).

***

no.,ΔH_f (0 K) (eV per atom)
1,0.032
2,0.632
3,0.028
4,0.079